BPtOF2, relaxed, DFT PBE-GGA; M_tot = 0.00 μB/cell; ρ = 5.90 g cm⁻³; energy above the lowest structure with this stoichiometry = 1080 meV per atom
1.0
-3.515 -2.534 -0.672
1.721 -1.383 -3.788
1.715 -2.862 1.824
Pt O B F
1 1 1 2
direct
0.000 0.000 0.000
0.000 0.000 0.500
0.500 0.500 0.500
0.500 0.000 0.000
0.000 0.500 0.000

=====

DyY3ErTm, relaxed, DFT PBE-GGA; M_tot = 0.00 μB/cell; ρ = 6.74 g cm⁻³; energy of formation from the pure elements = 0.0253 eV per atom
1.0
5.009 0.000 0.000
-2.504 7.520 0.000
0.000 0.000 10.009
Y Tm Er Dy
6 2 2 2
direct
0.834 0.668 0.250
0.666 0.332 0.000
0.334 0.668 0.500
0.666 0.332 0.500
0.334 0.668 0.000
0.166 0.332 0.750
0.499 0.999 0.750
0.501 0.001 0.250
0.835 0.670 0.750
0.165 0.330 0.250
0.000 0.000 0.500
0.000 0.000 0.000

=====

Pm2Sn4Ir3Au, relaxed, DFT PBE-GGA; M_tot = 0.00 μB/cell; ρ = 11.40 g cm⁻³; energy of formation from the pure elements = -0.5192 eV per atom
1.0
4.526 0.000 0.000
0.000 4.526 0.000
0.000 0.000 10.938
Sn Au Ir Pm
4 1 3 2
direct
0.500 0.000 0.636
0.500 0.500 0.000
0.000 0.000 0.000
0.000 0.500 0.364
0.500 0.500 0.500
0.000 0.500 0.130
0.000 0.000 0.500
0.500 0.000 0.870
0.500 0.000 0.243
0.000 0.500 0.757

=====

Hf2SbS, relaxed, DFT PBE-GGA; M_tot = 0.00 μB/cell; ρ = 10.42 g cm⁻³; energy above the lowest structure with this stoichiometry = 0 meV per atom
1.0
-2.242 -0.956 2.848
1.478 -1.242 3.213
0.001 5.541 4.327
S Hf Sb
1 2 1
direct
0.668 0.668 0.997
0.067 0.067 0.799
0.267 0.267 0.200
0.499 0.499 0.503

=====

CeTaAl4, relaxed, DFT PBE-GGA; M_tot = 0.77 μB/cell; ρ = 6.45 g cm⁻³; energy of formation from the pure elements = -0.1894 eV per atom
1.0
-2.094 -0.585 4.927
-1.894 -4.791 1.569
2.642 -2.850 3.728
Al Ta Ce
4 1 1
direct
0.626 0.123 0.626
0.626 0.626 0.626
0.626 0.626 0.123
0.123 0.626 0.626
0.000 0.000 0.000
0.250 0.250 0.250

=====

CoPb2Br, relaxed, DFT PBE-GGA; M_tot = 0.01 μB/cell; ρ = 9.08 g cm⁻³; energy above the lowest structure with this stoichiometry = 8 meV per atom
1.0
3.874 -0.012 0.128
1.939 3.354 0.128
1.669 0.959 7.848
Co Pb Br
1 2 1
direct
0.750 0.750 0.750
0.022 0.022 0.936
0.478 0.478 0.564
0.250 0.250 0.250

=====

PIrRu, relaxed, DFT PBE-GGA; M_tot = 0.00 μB/cell; ρ = 12.50 g cm⁻³; energy above the lowest structure with this stoichiometry = 580 meV per atom; energy of formation from the pure elements = 0.2151 eV per atom
1.0
1.751 -3.200 5.458
0.842 -0.570 6.155
-1.714 -2.273 0.354
Ru P Ir
1 1 1
direct
0.686 0.686 0.314
0.330 0.330 0.670
0.984 0.984 0.016

=====

AcCe3Mn, relaxed, DFT PBE-GGA; M_tot = 0.03 μB/cell; ρ = 8.08 g cm⁻³; energy of formation from the pure elements = 0.1591 eV per atom
1.0
-2.822 3.881 2.120
-3.055 -3.529 2.393
3.196 0.053 4.159
Ce Ac Mn
3 1 1
direct
0.500 0.000 0.000
0.000 0.500 0.000
0.000 0.000 0.500
0.500 0.500 0.500
0.000 0.000 0.000

=====

ReRhO2F, relaxed, DFT PBE-GGA; M_tot = 4.19 μB/cell; ρ = 8.59 g cm⁻³; electronic total energy = -5.85 eV per atom
1.0
-1.252 -1.910 -3.298
3.517 0.758 -1.774
1.496 -3.509 1.465
Rh O Re F
1 2 1 1
direct
0.000 0.000 0.000
0.000 0.500 0.000
0.500 0.000 0.000
0.500 0.500 0.500
0.000 0.000 0.500

=====

SrZr2OF, relaxed, DFT PBE-GGA; M_tot = 3.60 μB/cell; ρ = 3.76 g cm⁻³; electronic total energy = -4.23 eV per atom
1.0
5.601 0.000 0.000
0.000 4.299 0.000
0.000 0.000 5.601
O Zr Sr F
1 2 1 1
direct
0.500 0.500 0.500
0.000 0.000 0.500
0.500 0.000 0.000
0.000 0.000 0.000
0.000 0.500 0.000

=====

Fe2TeHBr, relaxed, DFT PBE-GGA; M_tot = 6.31 μB/cell; ρ = 6.20 g cm⁻³; electronic total energy = -4.15 eV per atom
1.0
4.690 0.000 0.000
0.000 3.897 0.000
0.000 0.000 4.690
Te Fe Br H
1 2 1 1
direct
0.000 0.500 0.000
0.500 0.000 0.000
0.000 0.000 0.500
0.500 0.500 0.500
0.000 0.000 0.000

=====

Sm2ErTm6Sc, relaxed, DFT PBE-GGA; M_tot = 0.00 μB/cell; ρ = 8.31 g cm⁻³; energy of formation from the pure elements = 0.1240 eV per atom
1.0
8.974 -2.050 -2.127
0.737 8.331 -1.934
0.737 -2.242 8.254
Sc Er Tm Sm
2 2 12 4
direct
0.250 0.410 0.590
0.750 0.590 0.410
0.250 0.981 0.019
0.750 0.019 0.981
0.942 0.872 0.254
0.442 0.254 0.872
0.690 0.013 0.571
0.190 0.571 0.013
0.810 0.429 0.987
0.383 0.503 0.293
0.310 0.987 0.429
0.617 0.497 0.707
0.058 0.128 0.746
0.558 0.746 0.128
0.883 0.293 0.503
0.117 0.707 0.497
0.046 0.300 0.198
0.954 0.700 0.802
0.546 0.198 0.300
0.454 0.802 0.700

=====

Among the records above, which one has the lowest ρ?
SrZr2OF

=====

Number 9 is which compound?
ReRhO2F

=====

Which of these has the lowest ρ?
SrZr2OF